Record 1
{
  "formula": "Pd3RuRh",
  "functional": "meta-GGA SCAN",
  "state": "PBEsol geometry",
  "magnetic_moment_mub_per_cell": 4.8,
  "e_form_kj_per_mol_atoms": 159.6,
  "dos_ef_per_ev_atom": 1.004,
  "spacegroup": "Pm-3m, No. 221",
  "total_energy_ev_per_atom": -31.730,
  "lattice_angstrom": [[-3.882, -0.192, -2.518], [0.264, -4.623, -0.054], [-2.511, -0.189, 3.886]],
  "species": ["Ru", "Pd", "Pd", "Pd", "Rh"],
  "frac_coords": [[0.500, 0.500, 0.500], [0.500, 0.000, 0.000], [0.000, 0.500, 0.000], [0.000, 0.000, 0.500], [0.000, 0.000, 0.000]]
}

---

Record 2
{
  "formula": "ReTe2PN",
  "functional": "meta-GGA SCAN",
  "state": "PBEsol geometry",
  "magnetic_moment_mub_per_cell": 0.0,
  "dos_ef_per_ev_atom": 0.636,
  "spacegroup": "P4/mmm, No. 123",
  "formation_energy_uncorrected_ev_per_atom": 0.612,
  "total_energy_ev_per_atom": -32.446,
  "lattice_angstrom": [[3.701, 0.000, 0.000], [0.000, 5.260, 0.000], [0.000, 0.000, 5.260]],
  "species": ["Te", "Te", "N", "Re", "P"],
  "frac_coords": [[0.000, 0.000, 0.500], [0.000, 0.500, 0.000], [0.500, 0.000, 0.000], [0.000, 0.000, 0.000], [0.500, 0.500, 0.500]]
}

---

Record 3
{
  "formula": "Er3Ge13Ru4",
  "functional": "meta-GGA SCAN",
  "state": "PBEsol geometry",
  "magnetic_moment_mub_per_cell": 0.0,
  "e_form_kj_per_mol_atoms": -48.9,
  "dos_ef_per_ev_atom": 0.371,
  "spacegroup": "Pm-3n, No. 223",
  "total_energy_ev_per_atom": -27.430,
  "lattice_angstrom": [[8.888, 0.000, 0.000], [0.000, 8.888, 0.000], [0.000, 0.000, 8.888]],
  "species": ["Ru", "Ru", "Ru", "Ru", "Ru", "Ru", "Ru", "Ru", "Ge", "Ge", "Ge", "Ge", "Ge", "Ge", "Ge", "Ge", "Ge", "Ge", "Ge", "Ge", "Ge", "Ge", "Ge", "Ge", "Ge", "Ge", "Ge", "Ge", "Ge", "Ge", "Ge", "Ge", "Ge", "Ge", "Er", "Er", "Er", "Er", "Er", "Er"],
  "frac_coords": [[0.750, 0.250, 0.250], [0.250, 0.750, 0.250], [0.750, 0.750, 0.750], [0.750, 0.250, 0.750], [0.250, 0.750, 0.750], [0.750, 0.750, 0.250], [0.250, 0.250, 0.250], [0.250, 0.250, 0.750], [0.000, 0.000, 0.000], [0.353, 0.500, 0.197], [0.353, 0.500, 0.803], [0.697, 0.000, 0.853], [0.853, 0.697, 0.000], [0.647, 0.500, 0.197], [0.303, 0.000, 0.147], [0.197, 0.647, 0.500], [0.147, 0.697, 0.000], [0.803, 0.647, 0.500], [0.303, 0.000, 0.853], [0.000, 0.853, 0.303], [0.647, 0.500, 0.803], [0.853, 0.303, 0.000], [0.500, 0.803, 0.647], [0.000, 0.147, 0.303], [0.500, 0.500, 0.500], [0.147, 0.303, 0.000], [0.000, 0.853, 0.697], [0.697, 0.000, 0.147], [0.803, 0.353, 0.500], [0.500, 0.197, 0.647], [0.197, 0.353, 0.500], [0.500, 0.197, 0.353], [0.500, 0.803, 0.353], [0.000, 0.147, 0.697], [0.000, 0.500, 0.750], [0.500, 0.750, 0.000], [0.250, 0.000, 0.500], [0.000, 0.500, 0.250], [0.750, 0.000, 0.500], [0.500, 0.250, 0.000]]
}

---

Record 4
{
  "formula": "Ba2FePb",
  "functional": "meta-GGA SCAN",
  "state": "PBEsol geometry",
  "magnetic_moment_mub_per_cell": 3.3,
  "e_form_kj_per_mol_atoms": -0.5,
  "dos_ef_per_ev_atom": 1.116,
  "spacegroup": "Immm, No. 71",
  "total_energy_ev_per_atom": -43.258,
  "lattice_angstrom": [[5.718, 0.000, 0.000], [-2.859, 5.035, -0.203], [0.000, -3.160, 4.880]],
  "species": ["Ba", "Ba", "Pb", "Fe"],
  "frac_coords": [[0.248, 0.496, 0.248], [0.752, 0.504, 0.752], [0.000, 0.000, 0.500], [0.500, 0.000, 0.000]]
}

---

Record 5
{
  "formula": "AlAg4",
  "functional": "meta-GGA SCAN",
  "state": "PBEsol geometry",
  "magnetic_moment_mub_per_cell": 0.0,
  "e_form_kj_per_mol_atoms": -5.3,
  "dos_ef_per_ev_atom": 0.250,
  "spacegroup": "Immm, No. 71",
  "total_energy_ev_per_atom": -26.699,
  "lattice_angstrom": [[2.860, 0.000, 0.000], [0.000, 3.951, 0.000], [-1.430, -1.976, 7.191]],
  "species": ["Ag", "Ag", "Ag", "Ag", "Al"],
  "frac_coords": [[0.903, 0.903, 0.807], [0.097, 0.097, 0.193], [0.699, 0.699, 0.399], [0.301, 0.301, 0.601], [0.500, 0.500, 0.000]]
}

---

Record 6
{
  "formula": "AsRu",
  "functional": "meta-GGA SCAN",
  "state": "PBEsol geometry",
  "magnetic_moment_mub_per_cell": 0.0,
  "e_form_kj_per_mol_atoms": 3.2,
  "dos_ef_per_ev_atom": 0.558,
  "spacegroup": "Imma, No. 74",
  "total_energy_ev_per_atom": -27.475,
  "lattice_angstrom": [[-2.223, -1.687, 1.045], [-0.960, -1.147, -3.894], [4.546, -2.256, 1.778]],
  "species": ["Ru", "Ru", "As", "As"],
  "frac_coords": [[0.893, 0.143, 0.786], [0.107, 0.857, 0.214], [0.612, 0.362, 0.224], [0.388, 0.638, 0.776]]
}

---

Record 7
{
  "formula": "MgFe2MoI",
  "functional": "meta-GGA SCAN",
  "state": "PBEsol geometry",
  "magnetic_moment_mub_per_cell": 3.9,
  "dos_ef_per_ev_atom": 0.575,
  "spacegroup": "P4/mmm, No. 123",
  "formation_energy_uncorrected_ev_per_atom": 1.535,
  "total_energy_ev_per_atom": -21.037,
  "lattice_angstrom": [[4.552, 0.000, 0.000], [0.000, 4.552, 0.000], [0.000, 0.000, 4.910]],
  "species": ["Mg", "I", "Mo", "Fe", "Fe"],
  "frac_coords": [[0.500, 0.500, 0.500], [0.000, 0.000, 0.000], [0.000, 0.000, 0.500], [0.000, 0.500, 0.000], [0.500, 0.000, 0.000]]
}

---

Record 8
{
  "formula": "Hg2SeO5",
  "functional": "meta-GGA SCAN",
  "state": "PBEsol geometry",
  "magnetic_moment_mub_per_cell": 0.0,
  "spacegroup": "P2_1/c, No. 14",
  "formation_energy_uncorrected_ev_per_atom": -0.544,
  "total_energy_ev_per_atom": -23.990,
  "lattice_angstrom": [[-5.985, -2.090, 3.374], [2.762, -9.215, -0.807], [5.245, 5.644, 12.798]],
  "species": ["Se", "Se", "Se", "Se", "Se", "Se", "Se", "Se", "O", "O", "O", "O", "O", "O", "O", "O", "O", "O", "O", "O", "O", "O", "O", "O", "O", "O", "O", "O", "O", "O", "O", "O", "O", "O", "O", "O", "O", "O", "O", "O", "O", "O", "O", "O", "O", "O", "O", "O", "Hg", "Hg", "Hg", "Hg", "Hg", "Hg", "Hg", "Hg", "Hg", "Hg", "Hg", "Hg", "Hg", "Hg", "Hg", "Hg"],
  "frac_coords": [[0.848, 0.037, 0.387], [0.349, 0.342, 0.379], [0.651, 0.658, 0.621], [0.849, 0.658, 0.121], [0.152, 0.963, 0.613], [0.348, 0.963, 0.113], [0.652, 0.037, 0.887], [0.151, 0.342, 0.879], [0.129, 0.756, 0.833], [0.456, 0.630, 0.673], [0.631, 0.556, 0.846], [0.685, 0.734, 0.201], [0.234, 0.942, 0.711], [0.034, 0.931, 0.375], [0.629, 0.244, 0.667], [0.371, 0.756, 0.333], [0.227, 0.502, 0.953], [0.396, 0.230, 0.444], [0.604, 0.770, 0.556], [0.592, 0.211, 0.958], [0.727, 0.498, 0.547], [0.104, 0.230, 0.944], [0.815, 0.734, 0.701], [0.266, 0.942, 0.211], [0.544, 0.370, 0.327], [0.185, 0.266, 0.299], [0.369, 0.444, 0.154], [0.681, 0.971, 0.440], [0.534, 0.069, 0.125], [0.131, 0.444, 0.654], [0.408, 0.789, 0.042], [0.273, 0.502, 0.453], [0.871, 0.244, 0.167], [0.766, 0.058, 0.289], [0.315, 0.266, 0.799], [0.908, 0.211, 0.458], [0.092, 0.789, 0.542], [0.734, 0.058, 0.789], [0.044, 0.630, 0.173], [0.319, 0.029, 0.560], [0.819, 0.971, 0.940], [0.773, 0.498, 0.047], [0.181, 0.029, 0.060], [0.869, 0.556, 0.346], [0.466, 0.931, 0.875], [0.966, 0.069, 0.625], [0.956, 0.370, 0.827], [0.896, 0.770, 0.056], [0.131, 0.636, 0.616], [0.135, 0.994, 0.878], [0.118, 0.336, 0.144], [0.369, 0.636, 0.116], [0.880, 0.335, 0.647], [0.382, 0.336, 0.644], [0.120, 0.665, 0.353], [0.618, 0.664, 0.356], [0.635, 0.006, 0.622], [0.882, 0.664, 0.856], [0.620, 0.335, 0.147], [0.365, 0.994, 0.378], [0.865, 0.006, 0.122], [0.869, 0.364, 0.384], [0.631, 0.364, 0.884], [0.380, 0.665, 0.853]]
}

---

Record 9
{
  "formula": "MgZnRh2",
  "functional": "meta-GGA SCAN",
  "state": "PBEsol geometry",
  "magnetic_moment_mub_per_cell": 0.0,
  "e_form_kj_per_mol_atoms": -40.6,
  "dos_ef_per_ev_atom": 0.305,
  "spacegroup": "Cm, No. 8",
  "total_energy_ev_per_atom": -21.929,
  "lattice_angstrom": [[2.833, 0.000, 0.000], [0.000, 4.487, -0.018], [-1.417, -1.869, 4.445]],
  "species": ["Zn", "Rh", "Rh", "Mg"],
  "frac_coords": [[0.511, 0.577, 0.022], [0.990, 0.068, 0.979], [0.257, 0.678, 0.514], [0.742, 0.177, 0.485]]
}

---

Record 10
{
  "formula": "SrPH",
  "functional": "meta-GGA SCAN",
  "state": "PBEsol geometry",
  "magnetic_moment_mub_per_cell": 0.0,
  "spacegroup": "R3m, No. 160",
  "total_energy_ev_per_atom": -12.927,
  "lattice_angstrom": [[4.208, -0.007, -0.005], [1.711, 3.844, -0.005], [1.711, 1.109, 3.680]],
  "species": ["P", "H", "Sr"],
  "frac_coords": [[0.819, 0.819, 0.819], [0.968, 0.968, 0.968], [0.318, 0.318, 0.318]]
}